(1)
DFT (GGA-PBE) results for a geometry-optimized Cu3Rh5 structure.

abc: 7.2660 7.2660 4.8993
angles: 90.00 90.00 120.00
Atoms (fractional coordinates):
Cu1 0.0000 0.4051 0.2500
Cu2 0.0000 0.5949 0.7500
Cu3 0.4051 0.0000 0.2500
Cu4 0.4051 0.4051 0.7500
Cu5 0.5949 0.0000 0.7500
Cu6 0.5949 0.5949 0.2500
Rh1 0.0000 0.2233 0.7500
Rh2 0.0000 0.7767 0.2500
Rh3 0.2233 0.0000 0.7500
Rh4 0.2233 0.2233 0.2500
Rh5 0.3333 0.6667 0.0000
Rh6 0.3333 0.6667 0.5000
Rh7 0.6667 0.3333 0.0000
Rh8 0.6667 0.3333 0.5000
Rh9 0.7767 0.0000 0.2500
Rh10 0.7767 0.7767 0.7500

## Properties
* ΔE_f: 0.3048 eV per atom
* space group: P6_3/mcm, No. 193

***

(2)
DFT (GGA-PBE) results for a geometry-optimized ScReHg2 structure.

abc: 3.5988 3.5988 5.9044
angles: 90.00 90.00 90.00
Atoms (fractional coordinates):
Sc1 0.0000 0.0000 0.0000
Re1 0.0000 0.0000 0.5000
Hg1 0.5000 0.5000 0.2567
Hg2 0.5000 0.5000 0.7433

## Properties
* ΔE_f: 0.3650 eV per atom
* space group: P4/mmm, No. 123

***

(3)
DFT (GGA-PBE) results for a geometry-optimized Li5In4Hg structure.

abc: 3.3677 3.3677 17.1108
angles: 90.00 90.00 90.00
Atoms (fractional coordinates):
Li1 0.0000 0.0000 0.0000
Li2 0.0000 0.0000 0.1984
Li3 0.0000 0.0000 0.4057
Li4 0.0000 0.0000 0.5943
Li5 0.0000 0.0000 0.8016
In1 0.5000 0.5000 0.0985
In2 0.5000 0.5000 0.3014
In3 0.5000 0.5000 0.6986
In4 0.5000 0.5000 0.9015
Hg1 0.5000 0.5000 0.5000

## Properties
* ΔE_f: -0.2912 eV per atom
* space group: P4/mmm, No. 123

***

(4)
DFT (GGA-PBE) results for a geometry-optimized Zn2FeIr3 structure.

abc: 6.7558 6.7558 6.0736
angles: 90.00 90.00 143.14
Atoms (fractional coordinates):
Zn1 0.0000 0.0000 0.0000
Zn2 0.0000 0.0000 0.5000
Zn3 0.3335 0.6665 0.0000
Zn4 0.6665 0.3335 0.0000
Fe1 0.3357 0.6643 0.5000
Fe2 0.6643 0.3357 0.5000
Ir1 0.1689 0.8311 0.2562
Ir2 0.1689 0.8311 0.7438
Ir3 0.5000 0.5000 0.2520
Ir4 0.5000 0.5000 0.7480
Ir5 0.8311 0.1689 0.2562
Ir6 0.8311 0.1689 0.7438

## Properties
* ΔE_f: -0.1118 eV per atom
* space group: Cmmm, No. 65

***

(5)
DFT (GGA-PBE) results for a geometry-optimized BePbBr4 structure.

abc: 6.3895 6.3895 6.3895
angles: 60.00 60.00 60.00
Atoms (fractional coordinates):
Be1 0.0000 0.0000 0.0000
Pb1 0.2500 0.2500 0.2500
Br1 0.1244 0.6252 0.6252
Br2 0.6252 0.1244 0.6252
Br3 0.6252 0.6252 0.1244
Br4 0.6252 0.6252 0.6252

## Properties
* space group: F-43m, No. 216
* E_form (uncorrected): 0.68 eV per atom

***

(6)
DFT (GGA-PBE) results for a geometry-optimized NiC structure.

abc: 5.0984 5.0984 2.4592
angles: 90.00 90.00 120.00
Atoms (fractional coordinates):
Ni1 0.0000 0.0000 0.0000
Ni2 0.3333 0.6667 0.5000
Ni3 0.6667 0.3333 0.5000
C1 0.0000 0.3647 0.0000
C2 0.3647 0.0000 0.0000
C3 0.6353 0.6353 0.0000

## Properties
* ΔE_f: 1.1860 eV per atom
* space group: P-62m, No. 189

***

(7)
DFT (GGA-PBE) results for a geometry-optimized HfNb2Se6 structure.

abc: 7.4575 7.4575 9.1410
angles: 111.07 111.07 27.69
Atoms (fractional coordinates):
Hf1 0.0000 0.0000 0.0000
Nb1 0.3257 0.3257 0.6522
Nb2 0.6743 0.6743 0.3478
Se1 0.0321 0.0321 0.3082
Se2 0.3094 0.3094 0.3600
Se3 0.3577 0.3577 0.9622
Se4 0.6423 0.6423 0.0378
Se5 0.6906 0.6906 0.6400
Se6 0.9679 0.9679 0.6918

## Properties
* space group: C2/m, No. 12
* E_form (uncorrected): -0.98 eV per atom

***

(8)
DFT (GGA-PBE) results for a geometry-optimized Pm2TmTl structure.

abc: 5.5417 5.5417 5.5417
angles: 60.00 60.00 60.00
Atoms (fractional coordinates):
Pm1 0.2500 0.2500 0.2500
Pm2 0.7500 0.7500 0.7500
Tm1 0.0000 0.0000 0.0000
Tl1 0.5000 0.5000 0.5000

## Properties
* ΔE_f: -0.0689 eV per atom
* space group: Fm-3m, No. 225

***

(9)
DFT (GGA-PBE) results for a geometry-optimized Dy12Co5Ge3 structure.

abc: 14.0131 14.0131 14.0131
angles: 109.47 109.47 109.47
Atoms (fractional coordinates):
Dy1 0.0322 0.2077 0.1231
Dy2 0.0322 0.3245 0.9091
Dy3 0.0846 0.7077 0.6755
Dy4 0.0846 0.8769 0.4091
Dy5 0.0909 0.6231 0.4154
Dy6 0.0909 0.9678 0.6755
Dy7 0.1231 0.0322 0.2077
Dy8 0.1231 0.5909 0.9154
Dy9 0.1755 0.2077 0.5846
Dy10 0.1755 0.4678 0.5909
Dy11 0.2077 0.1231 0.0322
Dy12 0.2077 0.5846 0.1755
Dy13 0.2923 0.3245 0.9154
Dy14 0.2923 0.4678 0.3769
Dy15 0.3245 0.9091 0.0322
Dy16 0.3245 0.9154 0.2923
Dy17 0.3769 0.2923 0.4678
Dy18 0.3769 0.5846 0.9091
Dy19 0.4091 0.0846 0.8769
Dy20 0.4091 0.8245 0.5322
Dy21 0.4154 0.0909 0.6231
Dy22 0.4154 0.8245 0.7923
Dy23 0.4678 0.3769 0.2923
Dy24 0.4678 0.5909 0.1755
Dy25 0.5322 0.4091 0.8245
Dy26 0.5322 0.6231 0.7077
Dy27 0.5846 0.1755 0.2077
Dy28 0.5846 0.9091 0.3769
Dy29 0.5909 0.1755 0.4678
Dy30 0.5909 0.9154 0.1231
Dy31 0.6231 0.4154 0.0909
Dy32 0.6231 0.7077 0.5322
Dy33 0.6755 0.0846 0.7077
Dy34 0.6755 0.0909 0.9678
Dy35 0.7077 0.5322 0.6231
Dy36 0.7077 0.6755 0.0846
Dy37 0.7923 0.4154 0.8245
Dy38 0.7923 0.8769 0.9678
Dy39 0.8245 0.5322 0.4091
Dy40 0.8245 0.7923 0.4154
Dy41 0.8769 0.4091 0.0846
Dy42 0.8769 0.9678 0.7923
Dy43 0.9091 0.0322 0.3245
Dy44 0.9091 0.3769 0.5846
Dy45 0.9154 0.1231 0.5909
Dy46 0.9154 0.2923 0.3245
Dy47 0.9678 0.6755 0.0909
Dy48 0.9678 0.7923 0.8769
Co1 0.0000 0.0000 0.0000
Co2 0.0000 0.0000 0.5000
Co3 0.0000 0.5000 0.0000
Co4 0.0000 0.5000 0.5000
Co5 0.1250 0.7500 0.8750
Co6 0.1250 0.8750 0.2500
Co7 0.2500 0.1250 0.8750
Co8 0.2500 0.6250 0.3750
Co9 0.3750 0.2500 0.6250
Co10 0.3750 0.6250 0.7500
Co11 0.5000 0.0000 0.0000
Co12 0.5000 0.0000 0.5000
Co13 0.5000 0.5000 0.0000
Co14 0.5000 0.5000 0.5000
Co15 0.6250 0.3750 0.2500
Co16 0.6250 0.7500 0.3750
Co17 0.7500 0.3750 0.6250
Co18 0.7500 0.8750 0.1250
Co19 0.8750 0.1250 0.7500
Co20 0.8750 0.2500 0.1250
Ge1 0.1250 0.2500 0.3750
Ge2 0.1250 0.3750 0.7500
Ge3 0.2500 0.3750 0.1250
Ge4 0.2500 0.8750 0.6250
Ge5 0.3750 0.1250 0.2500
Ge6 0.3750 0.7500 0.1250
Ge7 0.6250 0.2500 0.8750
Ge8 0.6250 0.8750 0.7500
Ge9 0.7500 0.1250 0.3750
Ge10 0.7500 0.6250 0.8750
Ge11 0.8750 0.6250 0.2500
Ge12 0.8750 0.7500 0.6250

## Properties
* ΔE_f: -0.0559 eV per atom
* space group: Ia-3d, No. 230

***

(10)
DFT (GGA-PBE) results for a geometry-optimized Li2PbSe2 structure.

abc: 8.0844 8.0844 3.3345
angles: 90.00 90.00 90.00
Atoms (fractional coordinates):
Li1 0.1290 0.3710 0.0000
Li2 0.3710 0.8710 0.0000
Li3 0.6290 0.1290 0.0000
Li4 0.8710 0.6290 0.0000
Pb1 0.0000 0.0000 0.5000
Pb2 0.5000 0.5000 0.5000
Se1 0.1654 0.6654 0.5000
Se2 0.3346 0.1654 0.5000
Se3 0.6654 0.8346 0.5000
Se4 0.8346 0.3346 0.5000

## Properties
* space group: P4/mbm, No. 127
* E_form (uncorrected): -0.71 eV per atom

***

(11)
DFT (GGA-PBE) results for a geometry-optimized NpMoRu structure.

abc: 4.5208 4.5208 5.7824
angles: 90.00 90.00 120.00
Atoms (fractional coordinates):
Np1 0.3333 0.6667 0.2500
Np2 0.6667 0.3333 0.7500
Mo1 0.3333 0.6667 0.7500
Mo2 0.6667 0.3333 0.2500
Ru1 0.0000 0.0000 0.0000
Ru2 0.0000 0.0000 0.5000

## Properties
* ΔE_f: 0.3219 eV per atom
* space group: P6_3/mmc, No. 194

***

(12)
DFT (GGA-PBE) results for a geometry-optimized YHN3 structure.

abc: 4.6375 4.6375 4.6375
angles: 90.00 90.00 90.00
Atoms (fractional coordinates):
Y1 0.0000 0.0000 0.0000
H1 0.5000 0.5000 0.5000
N1 0.0000 0.0000 0.5000
N2 0.0000 0.5000 0.0000
N3 0.5000 0.0000 0.0000

## Properties
* raw total energy: -4.985 eV/atom
* space group: Pm-3m, No. 221

***

(13)
DFT (GGA-PBE) results for a geometry-optimized CaCd2F structure.

abc: 5.1771 5.1771 5.1771
angles: 60.00 60.00 60.00
Atoms (fractional coordinates):
Ca1 0.0000 0.0000 0.0000
Cd1 0.2500 0.2500 0.2500
Cd2 0.7500 0.7500 0.7500
F1 0.5000 0.5000 0.5000

## Properties
* space group: Fm-3m, No. 225
* E_form (uncorrected): -0.62 eV per atom

***

(14)
DFT (GGA-PBE) results for a geometry-optimized Al3Pd structure.

abc: 10.2409 10.2409 4.9765
angles: 90.00 90.00 90.00
Atoms (fractional coordinates):
Al1 0.0223 0.5681 0.2450
Al2 0.0681 0.9777 0.7450
Al3 0.1117 0.2231 0.0355
Al4 0.1466 0.6690 0.7175
Al5 0.1690 0.8534 0.2175
Al6 0.2231 0.3883 0.4645
Al7 0.2769 0.1117 0.4645
Al8 0.3310 0.6466 0.2175
Al9 0.3534 0.8310 0.7175
Al10 0.3883 0.2769 0.0355
Al11 0.4319 0.5223 0.7450
Al12 0.4777 0.9319 0.2450
Al13 0.5223 0.0681 0.7550
Al14 0.5681 0.4777 0.2550
Al15 0.6117 0.7231 0.9645
Al16 0.6466 0.1690 0.2825
Al17 0.6690 0.3534 0.7825
Al18 0.7231 0.8883 0.5355
Al19 0.7769 0.6117 0.5355
Al20 0.8310 0.1466 0.7825
Al21 0.8534 0.3310 0.2825
Al22 0.8883 0.7769 0.9645
Al23 0.9319 0.0223 0.2550
Al24 0.9777 0.4319 0.7550
Pd1 0.0366 0.2100 0.5299
Pd2 0.2100 0.4634 0.9701
Pd3 0.2900 0.0366 0.9701
Pd4 0.4634 0.2900 0.5299
Pd5 0.5366 0.7100 0.4701
Pd6 0.7100 0.9634 0.0299
Pd7 0.7900 0.5366 0.0299
Pd8 0.9634 0.7900 0.4701

## Properties
* ΔE_f: -0.4410 eV per atom
* space group: P4_2/n, No. 86

***

(15)
DFT (GGA-PBE) results for a geometry-optimized LaNdDy2 structure.

abc: 3.6552 3.6552 10.1110
angles: 90.00 90.00 90.00
Atoms (fractional coordinates):
La1 0.0000 0.0000 0.0000
Nd1 0.0000 0.0000 0.5000
Dy1 0.5000 0.5000 0.2524
Dy2 0.5000 0.5000 0.7476

## Properties
* ΔE_f: 0.0244 eV per atom
* space group: P4/mmm, No. 123

***

(16)
DFT (GGA-PBE) results for a geometry-optimized LiSi2Rh structure.

abc: 2.8676 3.9863 4.9123
angles: 90.00 106.84 90.00
Atoms (fractional coordinates):
Li1 0.0000 0.0000 0.0000
Si1 0.2559 0.0000 0.5125
Si2 0.4050 0.5000 0.8113
Rh1 0.6747 0.5000 0.3494

## Properties
* space group: Pm, No. 6
* E_form (uncorrected): -0.36 eV per atom

***

(17)
DFT (GGA-PBE) results for a geometry-optimized Y6Pd3Pt structure.

abc: 6.8699 7.5264 12.2944
angles: 90.00 123.40 90.00
Atoms (fractional coordinates):
Y1 0.0805 0.0511 0.2491
Y2 0.0805 0.4489 0.7491
Y3 0.2364 0.6752 0.0757
Y4 0.2364 0.8248 0.5757
Y5 0.4103 0.1729 0.0720
Y6 0.4103 0.3271 0.5720
Y7 0.5897 0.6729 0.4280
Y8 0.5897 0.8271 0.9280
Y9 0.7636 0.1752 0.4243
Y10 0.7636 0.3248 0.9243
Y11 0.9195 0.5511 0.2509
Y12 0.9195 0.9489 0.7509
Pd1 0.3093 0.1184 0.7534
Pd2 0.3093 0.3816 0.2534
Pd3 0.5000 0.0000 0.5000
Pd4 0.5000 0.5000 0.0000
Pd5 0.6907 0.6184 0.7466
Pd6 0.6907 0.8816 0.2466
Pt1 0.0000 0.0000 0.0000
Pt2 0.0000 0.5000 0.5000

## Properties
* ΔE_f: -0.7247 eV per atom
* space group: P2_1/c, No. 14

***

(18)
DFT (GGA-PBE) results for a geometry-optimized Ce2PmErSb4 structure.

abc: 7.7255 4.4590 7.7298
angles: 90.00 109.46 90.00
Atoms (fractional coordinates):
Ce1 0.0000 0.0000 0.0000
Ce2 0.5000 0.5000 0.0000
Pm1 0.0000 0.5000 0.5000
Er1 0.5000 0.0000 0.5000
Sb1 0.2537 0.0000 0.7479
Sb2 0.2562 0.5000 0.2554
Sb3 0.7438 0.5000 0.7446
Sb4 0.7463 0.0000 0.2521

## Properties
* space group: P2/m, No. 10
* E_form (uncorrected): -1.09 eV per atom

***

(19)
DFT (GGA-PBE) results for a geometry-optimized Ac2SmAu2 structure.

abc: 8.0144 8.0144 4.8409
angles: 90.00 90.00 90.00
Atoms (fractional coordinates):
Ac1 0.1672 0.3328 0.0000
Ac2 0.3328 0.8328 0.0000
Ac3 0.6672 0.1672 0.0000
Ac4 0.8328 0.6672 0.0000
Sm1 0.0000 0.0000 0.5000
Sm2 0.5000 0.5000 0.5000
Au1 0.1347 0.6347 0.5000
Au2 0.3653 0.1347 0.5000
Au3 0.6347 0.8653 0.5000
Au4 0.8653 0.3653 0.5000

## Properties
* ΔE_f: -0.6155 eV per atom
* space group: P4/mbm, No. 127

***

(20)
DFT (GGA-PBE) results for a geometry-optimized ZnSb2Se structure.

abc: 3.7271 3.7271 7.9981
angles: 90.00 90.00 90.00
Atoms (fractional coordinates):
Zn1 0.0000 0.0000 0.0000
Sb1 0.0000 0.0000 0.6456
Sb2 0.5000 0.5000 0.4611
Se1 0.5000 0.5000 0.0542

## Properties
* space group: P4mm, No. 99
* E_form (uncorrected): 0.01 eV per atom